Here is an optimized crystal structure of RbScFe from OQMD. Energies are from PBE-GGA.

Values from the calculation:
- E (eV/atom) = -3.833
- symmetry = F-43m (216)
- offset from the most stable computed form (meV/atom) = 0

abc: 5.0761 5.0761 5.0761
angles: 60.00 60.00 60.00
Atoms (fractional coordinates):
Rb 0.0000 0.0000 0.0000
Sc 0.5000 0.5000 0.5000
Fe 0.2500 0.2500 0.2500


Here is an optimized crystal structure of LiHgPO4 from OQMD. Energies are from PBE-GGA.

Values from the calculation:
- E (eV/atom) = -5.633
- symmetry = Cmcm (63)

abc: 5.2051 5.2051 6.5215
angles: 90.00 90.00 115.11
Atoms (fractional coordinates):
Li 0.0000 0.0000 0.0000
Li 0.0000 0.0000 0.5000
Hg 0.3090 0.6910 0.7500
Hg 0.6910 0.3090 0.2500
P 0.3465 0.6535 0.2500
P 0.6535 0.3465 0.7500
O 0.2222 0.3242 0.2500
O 0.2330 0.7670 0.0656
O 0.2330 0.7670 0.4344
O 0.3242 0.2222 0.7500
O 0.6758 0.7778 0.2500
O 0.7670 0.2330 0.5656
O 0.7670 0.2330 0.9344
O 0.7778 0.6758 0.7500


Here is an optimized crystal structure of LuGaCuNi from OQMD. Energies are from PBE-GGA.

Values from the calculation:
- E (eV/atom) = -4.620
- symmetry = F-43m (216)
- offset from the most stable computed form (meV/atom) = 0

abc: 4.4391 4.4391 4.4391
angles: 60.00 60.00 60.00
Atoms (fractional coordinates):
Lu 0.0000 0.0000 0.0000
Ga 0.5000 0.5000 0.5000
Cu 0.7500 0.7500 0.7500
Ni 0.2500 0.2500 0.2500


Please write out number 3 again, unchanged.
Here is an optimized crystal structure of LuGaCuNi from OQMD. Energies are from PBE-GGA.

Values from the calculation:
- E (eV/atom) = -4.620
- symmetry = F-43m (216)
- offset from the most stable computed form (meV/atom) = 0

abc: 4.4391 4.4391 4.4391
angles: 60.00 60.00 60.00
Atoms (fractional coordinates):
Lu 0.0000 0.0000 0.0000
Ga 0.5000 0.5000 0.5000
Cu 0.7500 0.7500 0.7500
Ni 0.2500 0.2500 0.2500